Record 1
A relaxed SrAsSeN2 crystal. Source: the Alexandria database, functional PBE.

abc: 4.1338 4.1338 5.2315
angles: 90.00 90.00 90.00
Fractional coordinates of all 5 atoms:
1 Sr 0.0000 0.0000 0.0000
2 As 0.5000 0.5000 0.5000
3 Se 0.5000 0.5000 0.0000
4 N 0.0000 0.5000 0.5000
5 N 0.5000 0.0000 0.5000

Values from the calculation:
* distance to the lowest polymorph of the same formula: 0 meV/atom
* total magnetic moment: 1.82 μB per formula unit
* SG: No. 123

Record 2
A relaxed MgMn2Sb crystal. Source: the Alexandria database, functional PBE.

abc: 4.1526 4.1526 4.0304
angles: 90.00 90.00 90.00
Fractional coordinates of all 4 atoms:
1 Mg 0.0000 0.0000 0.0000
2 Mn 0.0000 0.5000 0.5000
3 Mn 0.5000 0.0000 0.5000
4 Sb 0.5000 0.5000 0.0000

Values from the calculation:
* total magnetic moment: 6.83 μB per formula unit
* SG: No. 123

Record 3
A relaxed PaTl3Cd2Te6 crystal. Source: the Alexandria database, functional PBE.

abc: 7.5874 7.5874 8.5658
angles: 98.30 98.30 120.27
Fractional coordinates of all 12 atoms:
1 Pa 0.0000 0.0000 0.0000
2 Tl 0.1656 0.8344 0.5000
3 Tl 0.5000 0.5000 0.5000
4 Tl 0.8344 0.1656 0.5000
5 Cd 0.3332 0.6668 0.0000
6 Cd 0.6668 0.3332 0.0000
7 Te 0.0725 0.3994 0.2124
8 Te 0.2545 0.2545 0.7834
9 Te 0.3994 0.0725 0.2124
10 Te 0.6006 0.9275 0.7876
11 Te 0.7455 0.7455 0.2166
12 Te 0.9275 0.6006 0.7876

Values from the calculation:
* total magnetic moment: 0.00 μB per formula unit
* SG: No. 12

| no. | ΔE_f (raw) (meV per atom) | E (eV/atom) |
| --- | --- | --- |
| 1 | 450 | -4.843 |
| 2 | 115 | -5.899 |
| 3 | -474 | -3.581 |